Entry 1:
## MoSe2S2 (PBE)

Data for crystalline MoSe2S2 at its relaxed geometry.

a = 3.3625 Å, b = 3.3625 Å, c = 20.9973 Å
α = 90.00°, β = 90.00°, γ = 90.00°
Fractional positions:
1 Mo 0.0000 0.0000 0.0000
2 Mo 0.5000 0.5000 0.5000
3 Se 0.0000 0.5000 0.2500
4 Se 0.0000 0.5000 0.7500
5 Se 0.5000 0.0000 0.2500
6 Se 0.5000 0.0000 0.7500
7 S 0.0000 0.0000 0.4344
8 S 0.0000 0.0000 0.5656
9 S 0.5000 0.5000 0.0656
10 S 0.5000 0.5000 0.9344

The calculation puts the calculated density at 4.45 g/cm3. The relative energy among the computed polymorphs comes out at 0.000 eV per atom. The space group is No. 139. For the energy relative to the elements, uncorrected, the calculation gives 1.814 eV/f.u.

***

Entry 2:
## Mo2SeS (PBE)

Data for crystalline Mo2SeS at its relaxed geometry.

a = 5.6769 Å, b = 5.6769 Å, c = 10.2404 Å
α = 90.00°, β = 90.00°, γ = 90.00°
Fractional positions:
1 Mo 0.2256 0.2500 0.1250
2 Mo 0.2500 0.7256 0.3750
3 Mo 0.2500 0.7744 0.8750
4 Mo 0.2744 0.2500 0.6250
5 Mo 0.7256 0.7500 0.6250
6 Mo 0.7500 0.2256 0.8750
7 Mo 0.7500 0.2744 0.3750
8 Mo 0.7744 0.7500 0.1250
9 Se 0.0000 0.0000 0.5000
10 Se 0.0000 0.5000 0.7500
11 Se 0.5000 0.0000 0.2500
12 Se 0.5000 0.5000 0.0000
13 S 0.0000 0.0000 0.0000
14 S 0.0000 0.5000 0.2500
15 S 0.5000 0.0000 0.7500
16 S 0.5000 0.5000 0.5000

The calculation puts the calculated density at 6.10 g/cm3. The relative energy among the computed polymorphs comes out at 0.220 eV per atom. The space group is No. 122. For the energy relative to the elements, uncorrected, the calculation gives 0.929 eV/f.u.

***

Entry 3:
## Mo2Se3S (PBE)

Data for crystalline Mo2Se3S at its relaxed geometry.

a = 3.2894 Å, b = 3.2894 Å, c = 28.8436 Å
α = 90.00°, β = 90.00°, γ = 120.00°
Fractional positions:
1 Mo 0.0000 0.0000 0.0000
2 Mo 0.0000 0.0000 0.4976
3 Mo 0.3333 0.6667 0.2507
4 Mo 0.3333 0.6667 0.7487
5 Se 0.0000 0.0000 0.1923
6 Se 0.0000 0.0000 0.3092
7 Se 0.0000 0.0000 0.6903
8 Se 0.0000 0.0000 0.8072
9 Se 0.3333 0.6667 0.0585
10 Se 0.3333 0.6667 0.9416
11 S 0.3333 0.6667 0.4444
12 S 0.3333 0.6667 0.5508

The calculation puts the calculated density at 5.66 g/cm3. The space group is No. 156. For the energy relative to the elements, uncorrected, the calculation gives -4.332 eV/f.u.

***

Entry 4:
## MoSeS (PBE)

Data for crystalline MoSeS at its relaxed geometry.

a = 6.1778 Å, b = 3.2435 Å, c = 7.2314 Å
α = 90.00°, β = 113.47°, γ = 90.00°
Fractional positions:
1 Mo 0.2329 0.2500 0.0514
2 Mo 0.7671 0.7500 0.9486
3 Se 0.1257 0.7500 0.2726
4 Se 0.8743 0.2500 0.7274
5 S 0.4461 0.2500 0.8205
6 S 0.5539 0.7500 0.1795

The calculation puts the calculated density at 5.17 g/cm3. The relative energy among the computed polymorphs comes out at 0.280 eV per atom. The space group is No. 11. For the energy relative to the elements, uncorrected, the calculation gives -1.468 eV/f.u.

***

Entry 5:
## Mo2SeS (PBE)

Data for crystalline Mo2SeS at its relaxed geometry.

a = 6.1687 Å, b = 6.1687 Å, c = 6.1687 Å
α = 90.00°, β = 90.00°, γ = 90.00°
Fractional positions:
1 Mo 0.2500 0.2500 0.2500
2 Mo 0.2500 0.2500 0.7500
3 Mo 0.2500 0.7500 0.2500
4 Mo 0.2500 0.7500 0.7500
5 Mo 0.7500 0.2500 0.2500
6 Mo 0.7500 0.2500 0.7500
7 Mo 0.7500 0.7500 0.2500
8 Mo 0.7500 0.7500 0.7500
9 Se 0.0000 0.0000 0.0000
10 Se 0.0000 0.5000 0.5000
11 Se 0.5000 0.0000 0.5000
12 Se 0.5000 0.5000 0.0000
13 S 0.0000 0.0000 0.5000
14 S 0.0000 0.5000 0.0000
15 S 0.5000 0.0000 0.0000
16 S 0.5000 0.5000 0.5000

The calculation puts the calculated density at 8.57 g/cm3. The relative energy among the computed polymorphs comes out at 0.000 eV per atom. The space group is No. 225. For the energy relative to the elements, uncorrected, the calculation gives 0.048 eV/f.u.

***

Entry 6:
## MoSeS2 (PBE)

Data for crystalline MoSeS2 at its relaxed geometry.

a = 3.2959 Å, b = 3.2959 Å, c = 24.1382 Å
α = 90.00°, β = 90.00°, γ = 120.00°
Fractional positions:
1 Mo 0.0000 0.0000 0.0000
2 Mo 0.3333 0.6667 0.6667
3 Mo 0.6667 0.3333 0.3333
4 Se 0.0000 0.0000 0.5000
5 Se 0.3333 0.6667 0.1667
6 Se 0.6667 0.3333 0.8333
7 S 0.0000 0.0000 0.3969
8 S 0.0000 0.0000 0.6031
9 S 0.3333 0.6667 0.0635
10 S 0.3333 0.6667 0.2698
11 S 0.6667 0.3333 0.7302
12 S 0.6667 0.3333 0.9365

The calculation puts the calculated density at 5.24 g/cm3. The space group is No. 166. For the energy relative to the elements, uncorrected, the calculation gives -0.764 eV/f.u.

***

Entry 7:
## Mo3SeS (PBE)

Data for crystalline Mo3SeS at its relaxed geometry.

a = 4.4732 Å, b = 4.4732 Å, c = 4.4732 Å
α = 90.00°, β = 90.00°, γ = 90.00°
Fractional positions:
1 Mo 0.0000 0.0000 0.5000
2 Mo 0.0000 0.5000 0.0000
3 Mo 0.5000 0.0000 0.0000
4 Se 0.5000 0.5000 0.5000
5 S 0.0000 0.0000 0.0000

The calculation puts the calculated density at 7.40 g/cm3. The relative energy among the computed polymorphs comes out at 0.000 eV per atom. The space group is No. 221. For the energy relative to the elements, uncorrected, the calculation gives 3.368 eV/f.u.

***

Entry 8:
## MoSeS2 (PBE)

Data for crystalline MoSeS2 at its relaxed geometry.

a = 6.2365 Å, b = 6.2365 Å, c = 9.4099 Å
α = 90.00°, β = 90.00°, γ = 90.00°
Fractional positions:
1 Mo 0.0000 0.0000 0.0000
2 Mo 0.0000 0.5000 0.2500
3 Mo 0.5000 0.0000 0.7500
4 Mo 0.5000 0.5000 0.5000
5 Se 0.0000 0.0000 0.5000
6 Se 0.0000 0.5000 0.7500
7 Se 0.5000 0.0000 0.2500
8 Se 0.5000 0.5000 0.0000
9 S 0.1871 0.2500 0.1250
10 S 0.2500 0.6871 0.3750
11 S 0.2500 0.8129 0.8750
12 S 0.3129 0.2500 0.6250
13 S 0.6871 0.7500 0.6250
14 S 0.7500 0.1871 0.8750
15 S 0.7500 0.3129 0.3750
16 S 0.8129 0.7500 0.1250

The calculation puts the calculated density at 4.34 g/cm3. The space group is No. 122. For the energy relative to the elements, uncorrected, the calculation gives 0.852 eV/f.u.

***

Entry 9:
## Mo3Se2S2 (PBE)

Data for crystalline Mo3Se2S2 at its relaxed geometry.

a = 6.5821 Å, b = 6.5901 Å, c = 6.6104 Å
α = 91.78°, β = 92.02°, γ = 92.45°
Fractional positions:
1 Mo 0.0000 0.0000 0.0000
2 Mo 0.0490 0.3860 0.2242
3 Mo 0.2369 0.0456 0.3650
4 Mo 0.6817 0.1403 0.1858
5 Mo 0.8542 0.7989 0.3296
6 Mo 0.9088 0.1803 0.5571
7 Se 0.0761 0.8405 0.6523
8 Se 0.2521 0.3870 0.5593
9 Se 0.3313 0.2213 0.0269
10 Se 0.6571 0.7951 0.9914
11 S 0.1752 0.7318 0.1711
12 S 0.5883 0.9768 0.5010
13 S 0.7325 0.4513 0.3884
14 S 0.8508 0.3190 0.9067

The calculation puts the calculated density at 5.92 g/cm3. The space group is No. 1. For the energy relative to the elements, uncorrected, the calculation gives -4.273 eV/f.u.

***

Entry 10:
## MoSeS3 (PBE)

Data for crystalline MoSeS3 at its relaxed geometry.

a = 4.7222 Å, b = 4.7222 Å, c = 4.7222 Å
α = 90.00°, β = 90.00°, γ = 90.00°
Fractional positions:
1 Mo 0.0000 0.0000 0.0000
2 Se 0.5000 0.5000 0.5000
3 S 0.0000 0.5000 0.5000
4 S 0.5000 0.0000 0.5000
5 S 0.5000 0.5000 0.0000

The calculation puts the calculated density at 4.27 g/cm3. The relative energy among the computed polymorphs comes out at 0.773 eV per atom. The space group is No. 221. For the energy relative to the elements, uncorrected, the calculation gives 5.428 eV/f.u.

***

Entry 11:
## MoSeS4 (PBE)

Data for crystalline MoSeS4 at its relaxed geometry.

a = 6.1594 Å, b = 7.6864 Å, c = 7.7334 Å
α = 110.22°, β = 105.27°, γ = 102.50°
Fractional positions:
1 Mo 0.2181 0.4977 0.4984
2 Mo 0.7819 0.5023 0.5016
3 Se 0.3037 0.0014 0.9318
4 Se 0.6963 0.9986 0.0682
5 S 0.0312 0.7156 0.4139
6 S 0.1451 0.6505 0.8059
7 S 0.3950 0.2234 0.3986
8 S 0.4609 0.5882 0.3056
9 S 0.5391 0.4118 0.6944
10 S 0.6050 0.7766 0.6014
11 S 0.8549 0.3495 0.1941
12 S 0.9688 0.2844 0.5861

The calculation puts the calculated density at 3.23 g/cm3. The space group is No. 2. For the energy relative to the elements, uncorrected, the calculation gives -1.812 eV/f.u.

***

Entry 12:
## MoSeS (PBE)

Data for crystalline MoSeS at its relaxed geometry.

a = 7.1187 Å, b = 6.5654 Å, c = 5.6856 Å
α = 90.00°, β = 107.01°, γ = 90.00°
Fractional positions:
1 Mo 0.0032 0.1350 0.2808
2 Mo 0.0032 0.3650 0.7808
3 Mo 0.9968 0.6350 0.2192
4 Mo 0.9968 0.8650 0.7192
5 Se 0.2587 0.6216 0.0073
6 Se 0.2587 0.8784 0.5073
7 Se 0.7413 0.1216 0.4927
8 Se 0.7413 0.3784 0.9927
9 S 0.2178 0.1139 0.0074
10 S 0.2178 0.3861 0.5074
11 S 0.7822 0.6139 0.4926
12 S 0.7822 0.8861 0.9926

The calculation puts the calculated density at 5.41 g/cm3. The relative energy among the computed polymorphs comes out at 0.229 eV per atom. The space group is No. 14. For the energy relative to the elements, uncorrected, the calculation gives -1.619 eV/f.u.

***

- Which value of energy relative to the elements, uncorrected does entry 8 give?
  0.852 eV/f.u.

***

- Which value of calculated density does entry 10 give?
  4.27 g/cm3